Here is a relaxed structure of W2C from Alexandria. Energies are from PBE.

Properties
- crystal system = monoclinic
- total magnetization (μB/atom) = 0.000
- symmetry = C2/m
- calculated total energy (eV for the cell shown) = -105.0
- mass density (Mg/m³) = 16.63
- calculated formation energy (eV per atom) = 0.040

a = 3.008 Å, b = 3.008 Å, c = 14.607 Å
α = 83.99°, β = 83.99°, γ = 60.08°
Atoms (fractional coordinates):
1 W 0.358 0.358 0.919
2 W 0.642 0.642 0.081
3 W 0.085 0.085 0.745
4 W 0.915 0.915 0.255
5 W 0.805 0.805 0.584
6 W 0.195 0.195 0.416
7 C 0.500 0.500 0.500
8 C 0.721 0.721 0.832
9 C 0.279 0.279 0.168